No. 1
# Ac2ZnIn6Ir

Crystalline Ac2ZnIn6Ir at its relaxed geometry (PBE-GGA, Alexandria via LeMat-Bulk).

Unit cell a=7.383 b=7.383 c=7.354 alpha=119.73 beta=119.73 gamma=90.24
Fractional positions:
Ac1 0.249 0.751 0.000
Ac2 0.751 0.249 0.000
Zn1 0.500 0.500 0.500
In1 0.251 0.251 0.498
In2 0.252 0.252 0.004
In3 0.252 0.748 0.500
In4 0.748 0.252 0.500
In5 0.748 0.748 0.996
In6 0.749 0.749 0.502
Ir1 0.000 0.000 0.500

Calculated values
Energy relative to the elements (eV/f.u.): -1.02
SG: C2/m (12)

No. 2
# Tc2HgCl

Crystalline Tc2HgCl at its relaxed geometry (PBE-GGA, Alexandria via LeMat-Bulk).

Unit cell a=3.044 b=3.044 c=6.869 alpha=90.00 beta=90.00 gamma=90.00
Fractional positions:
Tc1 0.000 0.000 0.207
Tc2 0.000 0.000 0.793
Hg1 0.500 0.500 0.500
Cl1 0.500 0.500 0.000

Calculated values
SG: P4/mmm (123)
E_form (uncorrected) (eV/atom): 0.93
Polymorph energy (0 for the lowest one) (eV per atom): 0.873

No. 3
# CeInIr2

Crystalline CeInIr2 at its relaxed geometry (PBE-GGA, Alexandria via LeMat-Bulk).

Unit cell a=3.180 b=3.180 c=7.517 alpha=90.00 beta=90.00 gamma=90.00
Fractional positions:
Ce1 0.000 0.000 0.000
In1 0.000 0.000 0.500
Ir1 0.500 0.500 0.268
Ir2 0.500 0.500 0.732

Calculated values
Energy relative to the elements (eV/f.u.): -1.40
SG: P4/mmm (123)

No. 4
# MnPCSeN

Crystalline MnPCSeN at its relaxed geometry (PBE-GGA, Alexandria via LeMat-Bulk).

Unit cell a=2.708 b=2.794 c=9.172 alpha=98.64 beta=98.34 gamma=90.00
Fractional positions:
Mn1 0.000 0.000 0.000
P1 0.638 0.639 0.282
C1 0.542 0.542 0.085
Se1 0.887 0.387 0.771
N1 0.186 0.687 0.379

Calculated values
SG: P1 (1)
E_form (uncorrected) (eV/atom): 0.29
Polymorph energy (0 for the lowest one) (eV per atom): 0.071